TaZnCuPd PBE-GGA optimized geometry; volume = 14.828 Å³ per atom; total magnetization = 0.00 μB/cell; space-group type = F-43m; ΔE to the lowest computed polymorph = 74 meV/atom; ΔE_f = -0.07 eV/atom
1.0
0.0000 3.0953 3.0953
3.0953 0.0000 3.0953
3.0953 3.0953 0.0000
Cu Pd Ta Zn
1 1 1 1
direct
0.7500 0.7500 0.7500 Cu
0.5000 0.5000 0.5000 Pd
0.2500 0.2500 0.2500 Ta
0.0000 0.0000 0.0000 Zn